# Ta2TcRu2 | Alexandria | PBE | relaxed
# N(E_F)	11.3	states/eV per cell
# energy	-52.490	eV/f.u.
data_Ta2TcRu2
_symmetry_space_group_name_H-M 'P 1'
_symmetry_Int_Tables_number 1
_cell_length_a 7.3247
_cell_length_b 7.3247
_cell_length_c 3.0386
_cell_angle_alpha 90.00
_cell_angle_beta 90.00
_cell_angle_gamma 90.00
loop_
_symmetry_equiv_pos_as_xyz
'x,y,z'
loop_
_atom_site_label
_atom_site_fract_x
_atom_site_fract_y
_atom_site_fract_z
Ru1 0.1326 0.3674 0.0000
Ru2 0.8674 0.6326 0.0000
Ru3 0.3674 0.8674 0.0000
Ru4 0.6326 0.1326 0.0000
Ta1 0.6689 0.8311 0.5000
Ta2 0.3311 0.1689 0.5000
Ta3 0.1689 0.6689 0.5000
Ta4 0.8311 0.3311 0.5000
Tc1 0.5000 0.5000 0.0000
Tc2 0.0000 0.0000 0.0000